Entry 1:
Mo2AsAu after structural relaxation. Source: Alexandria via LeMat-Bulk, functional PBE.

Properties
Density = 12.02 Mg/m³
Formation energy = 128 meV/atom
Spin magnetization = 0.0 μB/f.u.
Space-group type = P4/mmm (123)

Unit cell a=3.0678 b=3.0678 c=6.8100 alpha=90.00 beta=90.00 gamma=90.00
With the nearest neighbours (Å) after each atom.
Fractional positions:
Mo: 0.0000 0.0000 0.2199  4 As 2.64, 4 Au 2.89
Mo: 0.0000 0.0000 0.7801  4 As 2.64, 4 Au 2.89
As: 0.5000 0.5000 0.0000  8 Mo 2.64
Au: 0.5000 0.5000 0.5000  8 Mo 2.89, 4 Au 3.07


Entry 2:
Mo4AsAu after structural relaxation. Source: Alexandria via LeMat-Bulk, functional PBE.

Properties
Density = 10.52 Mg/m³
Formation energy = 592 meV/atom
Spin magnetization = 0.0 μB/f.u.
Space-group type = F-43m (216)

Unit cell a=5.2698 b=5.2698 c=5.2698 alpha=60.00 beta=60.00 gamma=60.00
With the nearest neighbours (Å) after each atom.
Fractional positions:
Mo: 0.3767 0.3767 0.3767  6 Mo 2.60-2.67
Mo: 0.3767 0.3767 0.8700  6 Mo 2.60-2.67
Mo: 0.3767 0.8700 0.3767  6 Mo 2.60-2.67
Mo: 0.8700 0.3767 0.3767  6 Mo 2.60-2.67
As: 0.0000 0.0000 0.0000  12 Mo 3.09, 4 Au 3.23
Au: 0.7500 0.7500 0.7500  12 Mo 3.09, 4 As 3.23


Entry 3:
Mo2AsAu after structural relaxation. Source: Alexandria via LeMat-Bulk, functional PBE.

Properties
Density = 11.82 Mg/m³
Formation energy = 366 meV/atom
Spin magnetization = 0.3 μB/f.u.
Space-group type = I-4m2 (119)

Unit cell a=3.9795 b=3.9795 c=8.2262 alpha=90.00 beta=90.00 gamma=90.00
With the nearest neighbours (Å) after each atom.
Fractional positions:
Mo: 0.0000 0.0000 0.0000  4 Au 2.81, 4 As 2.86, 4 Mo 2.86
Mo: 0.0000 0.5000 0.2500  4 As 2.81, 4 Mo 2.86, 4 Au 2.86
Mo: 0.5000 0.0000 0.7500  4 As 2.81, 4 Mo 2.86, 4 Au 2.86
Mo: 0.5000 0.5000 0.5000  4 Au 2.81, 4 As 2.86, 4 Mo 2.86
As: 0.0000 0.5000 0.7500  8 Mo 2.81-2.86, 4 Au 2.86
As: 0.5000 0.0000 0.2500  8 Mo 2.81-2.86, 4 Au 2.86
Au: 0.0000 0.0000 0.5000  8 Mo 2.81-2.86, 4 As 2.86
Au: 0.5000 0.5000 0.0000  8 Mo 2.81-2.86, 4 As 2.86


> The highest formation energy belongs to which entry?

Mo4AsAu


> spin magnetization of number 2 (Mo4AsAu)?

0.0 μB/f.u.


> Number 1 is which compound?

Mo2AsAu